Here is a relaxed BaSrZr4 crystal from Alexandria. Energies are from PBE.

Unit cell a=6.4433 b=6.4433 c=6.4433 alpha=60.00 beta=60.00 gamma=60.00
Last column: nearest neighbours and their distance in Å.
Fractional coordinates of all 6 atoms:
Ba  0.7500  0.7500  0.7500  12 Zr 3.80, 4 Sr 3.95
Zr  0.3669  0.3669  0.8993  3 Zr 3.01
Zr  0.3669  0.3669  0.3669  3 Zr 3.01
Zr  0.3669  0.8993  0.3669  3 Zr 3.01
Zr  0.8993  0.3669  0.3669  3 Zr 3.01
Sr  0.0000  0.0000  0.0000  12 Zr 3.76, 4 Ba 3.95

Summary:
- Space group: F-43m
- Raw total energy: -5.73 eV per atom
- V: 189 Å³ per cell
- Total magnetization: 2.832 μB per formula unit